Record 1
Compound: RbNb2PtAu
Source: Alexandria via LeMat-Bulk
Functional: PBE
Structure: relaxed

POSCAR file:
```
RbNb2PtAu
1.0
5.153 0.000 0.000
0.000 5.153 0.000
0.000 0.000 5.262
Rb Nb Pt Au
1 2 1 1
direct
0.000 0.000 0.000 Rb
0.000 0.500 0.500 Nb
0.500 0.000 0.500 Nb
0.500 0.500 0.000 Pt
0.500 0.500 0.500 Au
```

Values from the calculation:
space-group type = P4/mmm
DFT formation energy = 1357.7 meV/atom

=====

Record 2
Compound: Mn7Sb4
Source: Alexandria via LeMat-Bulk
Functional: PBE
Structure: relaxed

POSCAR file:
```
Mn7Sb4
1.0
4.429 0.000 0.000
-2.215 3.836 0.000
0.000 0.000 10.790
Mn Sb
7 4
direct
0.000 0.000 0.000 Mn
0.333 0.667 0.126 Mn
0.333 0.667 0.374 Mn
0.333 0.667 0.626 Mn
0.333 0.667 0.874 Mn
0.667 0.333 0.245 Mn
0.667 0.333 0.755 Mn
0.000 0.000 0.259 Sb
0.000 0.000 0.741 Sb
0.667 0.333 0.000 Sb
0.667 0.333 0.500 Sb
```

Values from the calculation:
E = -7.176 eV per atom
space-group type = P-6m2

=====

One value per record, in order, for Fermi-level density of states: 6.643, 9.896 states/eV/cell.